# GGA-PBE RbSbCl2, relaxed
data_RbSbCl2
_cell_length_a 5.9672
_cell_length_b 5.9672
_cell_length_c 9.8069
_cell_angle_alpha 72.29
_cell_angle_beta 72.29
_cell_angle_gamma 90.00
_symmetry_space_group_name_H-M 'P 1'
_symmetry_Int_Tables_number 1
loop_
_symmetry_equiv_pos_as_xyz
'x,y,z'
loop_
_atom_site_label
_atom_site_fract_x
_atom_site_fract_y
_atom_site_fract_z
Rb1 0.5000 0.5000 0.0000
Rb2 0.2500 0.7500 0.5000
Cl1 0.0402 0.6250 0.2500
Cl2 0.8750 0.9598 0.7500
Cl3 0.7098 0.1250 0.2500
Cl4 0.3750 0.2902 0.7500
Sb1 0.0000 0.0000 0.0000
Sb2 0.7500 0.2500 0.5000
# Formation energy without anion corrections (eV per atom): -0.745
# E above lowest polymorph (kJ per mole of atoms): 20.4
# Calculated density (g/cm³): 2.93

# GGA-PBE KTlSb2Te, relaxed
data_KTlSb2Te
_cell_length_a 5.9566
_cell_length_b 5.9566
_cell_length_c 6.0651
_cell_angle_alpha 90.00
_cell_angle_beta 90.00
_cell_angle_gamma 90.00
_symmetry_space_group_name_H-M 'P 1'
_symmetry_Int_Tables_number 1
loop_
_symmetry_equiv_pos_as_xyz
'x,y,z'
loop_
_atom_site_label
_atom_site_fract_x
_atom_site_fract_y
_atom_site_fract_z
Sb1 0.5000 0.0000 0.0000
Sb2 0.0000 0.5000 0.0000
Te1 0.0000 0.0000 0.5000
K1 0.0000 0.0000 0.0000
Tl1 0.5000 0.5000 0.5000
# Formation energy without anion corrections (eV per atom): 0.807
# E above lowest polymorph (kJ per mole of atoms): 48.1
# Calculated density (g/cm³): 4.74

# GGA-PBE PaTiS, relaxed
data_PaTiS
_cell_length_a 3.3973
_cell_length_b 4.3462
_cell_length_c 4.3462
_cell_angle_alpha 120.00
_cell_angle_beta 90.00
_cell_angle_gamma 90.00
_symmetry_space_group_name_H-M 'P 1'
_symmetry_Int_Tables_number 1
loop_
_symmetry_equiv_pos_as_xyz
'x,y,z'
loop_
_atom_site_label
_atom_site_fract_x
_atom_site_fract_y
_atom_site_fract_z
Pa1 0.6666 0.6667 0.3333
Ti1 0.1667 0.3333 0.6667
S1 0.1667 0.0000 0.0000
# Formation energy without anion corrections (eV per atom): -0.641
# Calculated density (g/cm³): 9.29

Repeat the third record exactly.
# GGA-PBE PaTiS, relaxed
data_PaTiS
_cell_length_a 3.3973
_cell_length_b 4.3462
_cell_length_c 4.3462
_cell_angle_alpha 120.00
_cell_angle_beta 90.00
_cell_angle_gamma 90.00
_symmetry_space_group_name_H-M 'P 1'
_symmetry_Int_Tables_number 1
loop_
_symmetry_equiv_pos_as_xyz
'x,y,z'
loop_
_atom_site_label
_atom_site_fract_x
_atom_site_fract_y
_atom_site_fract_z
Pa1 0.6666 0.6667 0.3333
Ti1 0.1667 0.3333 0.6667
S1 0.1667 0.0000 0.0000
# Formation energy without anion corrections (eV per atom): -0.641
# Calculated density (g/cm³): 9.29